No. 1
{"formula": "Zr2Be17", "functional": "PBEsol", "state": "relaxed", "lattice": [[3.7374, 2.1578, 3.6398], [-3.7374, 2.1578, 3.6398], [0.0000, -4.3155, 3.6398]], "species": ["Zr", "Zr", "Be", "Be", "Be", "Be", "Be", "Be", "Be", "Be", "Be", "Be", "Be", "Be", "Be", "Be", "Be", "Be", "Be"], "frac_coords": [[0.1626, 0.1626, 0.1626], [0.8374, 0.8374, 0.8374], [0.0000, 0.5000, 0.5000], [0.1566, 0.1566, 0.6586], [0.1566, 0.6586, 0.1566], [0.2133, 0.5000, 0.7867], [0.2133, 0.7867, 0.5000], [0.3414, 0.8434, 0.8434], [0.4037, 0.4037, 0.4037], [0.5000, 0.0000, 0.5000], [0.5000, 0.2133, 0.7867], [0.5000, 0.5000, 0.0000], [0.5000, 0.7867, 0.2133], [0.5963, 0.5963, 0.5963], [0.6586, 0.1566, 0.1566], [0.7867, 0.2133, 0.5000], [0.7867, 0.5000, 0.2133], [0.8434, 0.3414, 0.8434], [0.8434, 0.8434, 0.3414]], "m_tot_mub_per_atom": 0.00, "formation_energy_mev_per_atom": -236, "final_energy_ev_per_cell": -90.7}

No. 2
{"formula": "Ta2CrPb", "functional": "PBEsol", "state": "relaxed", "lattice": [[3.6279, 0.0000, 0.0000], [0.0000, 4.3113, 0.0000], [0.0000, 0.0000, 4.4648]], "species": ["Ta", "Ta", "Cr", "Pb"], "frac_coords": [[0.0000, 0.0000, 0.0000], [0.5000, 0.5000, 0.0000], [0.0000, 0.5000, 0.5000], [0.5000, 0.0000, 0.5000]], "m_tot_mub_per_atom": 0.50, "formation_energy_mev_per_atom": 425, "final_energy_ev_per_cell": -37.6}

No. 3
{"formula": "YPOs2", "functional": "PBEsol", "state": "relaxed", "lattice": [[-1.4626, 2.3633, 4.5294], [1.4626, -2.3633, 4.5294], [1.4626, 2.3633, -4.5294]], "species": ["Y", "P", "Os", "Os"], "frac_coords": [[0.0000, 0.0000, 0.0000], [0.5000, 0.5000, 0.0000], [0.2884, 0.7884, 0.5000], [0.7116, 0.2116, 0.5000]], "m_tot_mub_per_atom": 0.00, "formation_energy_mev_per_atom": -103, "final_energy_ev_per_cell": -37.5}